Entry 1:
A geometry-optimized Ce2NdCu2Sn2 structure, computed with GGA-PBE.

a = 4.488 Å, b = 4.488 Å, c = 9.760 Å
α = 76.71°, β = 76.71°, γ = 60.00°
Site moments in Bohr magnetons follow the coordinates.
Positions (direct):
1 Sn 0.264 0.264 0.209  -0.01
2 Sn 0.736 0.736 0.791  -0.01
3 Ce 0.143 0.143 0.572  0.78
4 Ce 0.857 0.857 0.428  0.78
5 Cu 0.418 0.418 0.745  0.00
6 Cu 0.582 0.582 0.255  0.00
7 Nd 0.000 0.000 0.000  0.01

Summary:
The calculation puts the magnetic moment at 0.25 μB/atom. The calculation puts the energy relative to the elements at -0.407 eV per atom. The crystal system is trigonal.

Entry 2:
A geometry-optimized Pr2HoPb structure, computed with GGA-PBE.

a = 3.614 Å, b = 3.614 Å, c = 12.548 Å
α = 81.72°, β = 81.72°, γ = 60.00°
Positions (direct):
1 Pr 0.911 0.911 0.266
2 Pr 0.089 0.089 0.734
3 Pb 0.000 0.000 0.000
4 Ho 0.500 0.500 0.500

Summary:
For the energy above the most stable polymorph in this dataset, the calculation gives 355 meV per atom. The calculation puts the magnetic moment at 0.00 μB/atom. The calculation puts the energy relative to the elements at 0.042 eV per atom. The crystal system is trigonal.

Entry 3:
A geometry-optimized PaCuRuO6 structure, computed with GGA-PBE.

a = 4.815 Å, b = 4.815 Å, c = 9.640 Å
α = 90.00°, β = 90.00°, γ = 90.00°
Site moments in Bohr magnetons follow the coordinates.
Positions (direct):
1 Cu 0.000 0.000 0.996  -0.19
2 Cu 0.500 0.500 0.496  -0.19
3 O 0.786 0.214 0.836  0.06
4 O 0.815 0.185 0.175  0.03
5 O 0.214 0.786 0.836  0.06
6 O 0.304 0.304 0.988  0.09
7 O 0.315 0.315 0.675  0.03
8 O 0.286 0.286 0.336  0.06
9 O 0.185 0.815 0.175  0.03
10 O 0.804 0.196 0.488  0.09
11 O 0.714 0.714 0.336  0.06
12 O 0.696 0.696 0.988  0.09
13 O 0.685 0.685 0.675  0.03
14 O 0.196 0.804 0.488  0.09
15 Ru 0.500 0.500 0.837  1.38
16 Ru 0.000 0.000 0.337  1.38
17 Pa 0.000 0.000 0.668  0.09
18 Pa 0.500 0.500 0.168  0.09

Summary:
The calculation puts the magnetic moment at 0.20 μB/atom. For the formation energy from raw total energies, the calculation gives -1540.0 kJ/mol of formula units. The crystal system is tetragonal.

Entry 4:
A geometry-optimized BeAl2As structure, computed with GGA-PBE.

a = 4.247 Å, b = 4.247 Å, c = 3.440 Å
α = 90.00°, β = 90.00°, γ = 90.00°
Positions (direct):
1 Al 0.000 0.000 0.000
2 Al 0.500 0.500 0.000
3 Be 0.000 0.500 0.500
4 As 0.500 0.000 0.500

Summary:
For the energy above the most stable polymorph in this dataset, the calculation gives 225 meV per atom. The calculation puts the magnetic moment at 0.00 μB/atom. The calculation puts the energy relative to the elements at 0.300 eV per atom. The crystal system is tetragonal.

Entry 5:
A geometry-optimized NdGdCoAg structure, computed with GGA-PBE.

a = 5.061 Å, b = 5.061 Å, c = 5.061 Å
α = 60.00°, β = 60.00°, γ = 60.00°
Site moments in Bohr magnetons follow the coordinates.
Positions (direct):
1 Co 0.750 0.750 0.750  -1.01
2 Nd 0.500 0.500 0.500  0.12
3 Gd 0.000 0.000 0.000  7.16
4 Ag 0.250 0.250 0.250  0.01

Summary:
The calculation puts the magnetic moment at 1.67 μB/atom. The calculation puts the energy relative to the elements at -0.103 eV per atom. The crystal system is cubic.

Entry 6:
A geometry-optimized Lu2Te3 structure, computed with GGA-PBE.

a = 4.431 Å, b = 8.098 Å, c = 8.098 Å
α = 116.57°, β = 90.00°, γ = 90.00°
Positions (direct):
1 Te 0.500 0.686 0.778
2 Te 0.500 0.222 0.314
3 Te 0.000 0.213 0.787
4 Lu 0.500 0.080 0.920
5 Lu 0.000 0.427 0.573

Summary:
The calculation puts the magnetic moment at 0.00 μB/atom. For the formation energy from raw total energies, the calculation gives -499.5 kJ/mol of formula units. The crystal system is orthorhombic.

Entry 7:
A geometry-optimized V2Ni2Pd7 structure, computed with GGA-PBE.

a = 6.675 Å, b = 8.177 Å, c = 3.913 Å
α = 90.00°, β = 125.92°, γ = 103.11°
Site moments in Bohr magnetons follow the coordinates.
Positions (direct):
1 Pd 0.068 0.674 0.568  0.02
2 Pd 0.423 0.332 0.923  0.02
3 Pd 0.577 0.668 0.077  0.02
4 Pd 0.599 0.168 0.599  0.06
5 Pd 0.932 0.326 0.432  0.02
6 Pd 0.000 0.000 0.000  0.17
7 Pd 0.401 0.832 0.401  0.06
8 V 0.745 0.492 0.746  -0.06
9 V 0.255 0.508 0.254  -0.06
10 Ni 0.285 0.009 0.785  0.60
11 Ni 0.715 0.991 0.215  0.60

Summary:
For the energy above the most stable polymorph in this dataset, the calculation gives 168 meV per atom. The calculation puts the magnetic moment at 0.13 μB/atom. The calculation puts the energy relative to the elements at 0.051 eV per atom. The crystal system is monoclinic.

Entry 8:
A geometry-optimized CdInTe2 structure, computed with GGA-PBE.

a = 3.244 Å, b = 4.234 Å, c = 8.482 Å
α = 90.00°, β = 90.00°, γ = 90.00°
Positions (direct):
1 Te 0.000 0.000 0.016
2 Te 0.000 0.000 0.484
3 In 0.500 0.500 0.750
4 Cd 0.500 0.500 0.250

Summary:
The calculation puts the magnetic moment at 0.00 μB/atom. For the formation energy from raw total energies, the calculation gives -8.7 kJ/mol of formula units. The crystal system is orthorhombic.

Entry 9:
A geometry-optimized Be2CoCu structure, computed with GGA-PBE.

a = 4.986 Å, b = 4.986 Å, c = 4.986 Å
α = 57.72°, β = 152.56°, γ = 130.28°
Site moments in Bohr magnetons follow the coordinates.
Positions (direct):
1 Be 0.000 0.751 0.751  0.02
2 Be 0.000 0.249 0.249  0.02
3 Co 0.000 0.000 0.000  1.35
4 Cu 0.000 0.500 0.500  0.02

Summary:
The calculation puts the magnetic moment at 0.35 μB/atom. The calculation puts the energy relative to the elements at 0.453 eV per atom. The crystal system is orthorhombic.

Entry 10:
A geometry-optimized TbCePaAl structure, computed with GGA-PBE.

a = 5.176 Å, b = 5.176 Å, c = 5.176 Å
α = 60.00°, β = 60.00°, γ = 60.00°
Site moments in Bohr magnetons follow the coordinates.
Positions (direct):
1 Pa 0.000 0.000 0.000  0.38
2 Tb 0.500 0.500 0.500  0.11
3 Ce 0.250 0.250 0.250  0.40
4 Al 0.750 0.750 0.750  -0.01

Summary:
The calculation puts the magnetic moment at 0.27 μB/atom. The calculation puts the energy relative to the elements at 0.114 eV per atom. The crystal system is cubic.

Entry 11:
A geometry-optimized RbNdPb2Br8 structure, computed with GGA-PBE.

a = 7.338 Å, b = 6.964 Å, c = 9.426 Å
α = 89.97°, β = 89.99°, γ = 89.10°
Positions (direct):
1 Rb 0.000 0.000 0.500
2 Br 0.623 0.730 0.500
3 Br 0.157 0.753 0.217
4 Br 0.325 0.245 0.000
5 Br 0.675 0.755 0.000
6 Br 0.843 0.247 0.217
7 Br 0.843 0.247 0.783
8 Br 0.377 0.270 0.500
9 Br 0.157 0.753 0.783
10 Nd 0.000 0.000 0.000
11 Pb 0.500 0.500 0.748
12 Pb 0.500 0.500 0.252

Summary:
The calculation puts the magnetic moment at 0.00 μB/atom. For the formation energy from raw total energies, the calculation gives -1571.5 kJ/mol of formula units. The crystal system is monoclinic.

Entry 12:
A geometry-optimized Sm3YGa3 structure, computed with GGA-PBE.

a = 4.819 Å, b = 9.332 Å, c = 9.332 Å
α = 120.00°, β = 90.00°, γ = 90.00°
Positions (direct):
1 Y 0.250 0.667 0.333
2 Y 0.750 0.333 0.667
3 Sm 0.250 0.019 0.759
4 Sm 0.750 0.759 0.741
5 Sm 0.250 0.241 0.259
6 Sm 0.750 0.981 0.241
7 Sm 0.250 0.741 0.981
8 Sm 0.750 0.259 0.019
9 Ga 0.750 0.606 0.058
10 Ga 0.250 0.548 0.606
11 Ga 0.250 0.058 0.452
12 Ga 0.250 0.394 0.942
13 Ga 0.750 0.942 0.548
14 Ga 0.750 0.452 0.394

Summary:
The calculation puts the magnetic moment at 0.00 μB/atom. The calculation puts the energy relative to the elements at -0.404 eV per atom. The crystal system is hexagonal.